First-principles (PBE with a Hubbard U) data for an optimized crystal structure of LaGeMoO6, as listed in the Alexandria database.

E ... -7.19 eV per atom

Structure (CIF):
```
data_LaGeMoO6
_chemical_formula_sum 'La2 Ge2 Mo2 O12'
_cell_length_a 4.902
_cell_length_b 4.902
_cell_length_c 9.739
_cell_angle_alpha 90.00
_cell_angle_beta 90.00
_cell_angle_gamma 90.00
_space_group_name_H-M_alt 'P 42 n m'
_space_group_IT_number 102
loop_
_space_group_symop_operation_xyz
'x,y,z'
'-y+1/2,x+1/2,z+1/2'
'-x,-y,z'
'y+1/2,-x+1/2,z+1/2'
'-x+1/2,y+1/2,z+1/2'
'y,x,z'
'x+1/2,-y+1/2,z+1/2'
'-y,-x,z'
loop_
_atom_site_label
_atom_site_fract_x
_atom_site_fract_y
_atom_site_fract_z
_atom_site_occupancy
La1 0.000 0.000 0.000 1
Ge1 0.000 0.000 0.342 1
Mo1 0.000 0.000 0.666 1
O1 0.170 0.170 0.500 1
O2 0.227 0.227 0.197 1
O3 0.232 0.232 0.819 1
```